[1]
Material: NaIr
Method: DFT, PBE
State: relaxed

Fermi-level density of states ... 0.47 states/eV per atom
Space-group type ... P2_12_12_1, No. 19
Formation energy from the elements ... 0.187 eV per atom
Calculated total energy ... -4.903 eV per atom
M_tot ... 0.00 μB per formula unit

```
NaIr
1.0
6.3382 0.0000 0.0000
0.0000 7.1137 0.0000
0.0000 0.0000 7.1387
Na Ir
8 8
Direct
0.0737 0.0389 0.2155 Na
0.1962 0.2314 0.5269 Na
0.3038 0.7686 0.0269 Na
0.4263 0.9611 0.7155 Na
0.5737 0.4611 0.7845 Na
0.6962 0.2686 0.4731 Na
0.8038 0.7314 0.9731 Na
0.9263 0.5389 0.2845 Na
0.1051 0.3920 0.8941 Ir
0.1364 0.6293 0.6475 Ir
0.3636 0.3707 0.1475 Ir
0.3949 0.6080 0.3941 Ir
0.6051 0.1080 0.1059 Ir
0.6364 0.8707 0.3525 Ir
0.8636 0.1293 0.8525 Ir
0.8949 0.8920 0.6059 Ir
```

[2]
Material: CaZrF3
Method: DFT, PBE
State: relaxed

Fermi-level density of states ... 1.07 states/eV per atom
Space-group type ... Pm-3m, No. 221
Energy above the most stable polymorph in this dataset ... 0.000 eV/atom
Calculated total energy ... -5.504 eV per atom
M_tot ... 2.03 μB per formula unit

```
CaZrF3
1.0
4.4977 0.0000 0.0000
0.0000 4.4977 0.0000
0.0000 0.0000 4.4977
Ca Zr F
1 1 3
Direct
0.0000 0.0000 0.0000 Ca
0.5000 0.5000 0.5000 Zr
0.0000 0.5000 0.5000 F
0.5000 0.0000 0.5000 F
0.5000 0.5000 0.0000 F
```